Record 1
Density functional theory data (PBE) for an optimized crystal structure of LiHfAg2Mo.

Computed properties:
E: -20.93 eV per cell
total magnetization: 0.00 μB per cell
formation energy: 721 kJ/mol of formula units

Unit cell a=4.9403 b=4.9403 c=4.4421 alpha=90.00 beta=90.00 gamma=90.00
With the nearest neighbours (Å) after each atom.
Space group P4/mmm (No. 123)
Inequivalent atoms, fractional coordinates:
Li 0.0000 0.0000 0.0000  2 Mo 2.22
Hf 0.5000 0.5000 0.0000  8 Ag 3.32, 4 Li 3.49
Ag 0.0000 0.5000 0.5000  2 Mo 2.47
Mo 0.0000 0.0000 0.5000  2 Li 2.22, 4 Ag 2.47

***

Record 2
Density functional theory data (PBE) for an optimized crystal structure of MgBeInGa2.

Computed properties:
E: -13.10 eV per cell
total magnetization: 0.00 μB per cell
formation energy: 97 kJ/mol of formula units

Unit cell a=4.4926 b=4.4926 c=5.0232 alpha=90.00 beta=90.00 gamma=90.00
With the nearest neighbours (Å) after each atom.
Space group P4/mmm (No. 123)
Inequivalent atoms, fractional coordinates:
Mg 0.0000 0.0000 0.0000  2 Be 2.51
Be 0.0000 0.0000 0.5000  4 Ga 2.25, 2 Mg 2.51
In 0.5000 0.5000 0.0000  4 Mg 3.18, 8 Ga 3.37
Ga 0.0000 0.5000 0.5000  2 Be 2.25

***

Record 3
Density functional theory data (PBE) for an optimized crystal structure of CoPIr2.

Computed properties:
E: -29.87 eV per cell
total magnetization: 1.99 μB per cell
formation energy: 36 kJ/mol of formula units
energy above the most stable polymorph in this dataset: 0.236 eV/atom

Unit cell a=2.8066 b=3.7837 c=5.0848 alpha=90.00 beta=90.00 gamma=90.00
With the nearest neighbours (Å) after each atom.
Space group Pmm2 (No. 25)
Inequivalent atoms, fractional coordinates:
Co 0.0000 0.0000 0.0000  6 Ir 2.48-2.59
P 0.5000 0.5000 0.6766  6 Ir 2.42-2.66
Ir 0.0000 0.0000 0.5085  2 Co 2.50-2.59, 4 P 2.51
Ir 0.5000 0.5000 0.1532  2 P 2.42-2.66, 4 Co 2.48

***

Record 4
Density functional theory data (PBE) for an optimized crystal structure of Sn2BiS.

Computed properties:
formation energy (no corrections): -49 meV/atom
E: -48.63 eV per cell
total magnetization: 0.00 μB per cell
energy above the most stable polymorph in this dataset: 0.017 eV/atom

Unit cell a=4.1722 b=4.1722 c=22.5934 alpha=90.00 beta=90.00 gamma=120.00
With the nearest neighbours (Å) after each atom.
Space group R-3m (No. 166, hexagonal axes)
Inequivalent atoms, fractional coordinates:
Sn 0.0000 0.0000 0.2400  3 S 2.92, 3 Bi 3.20
Bi 0.0000 0.0000 0.0000  6 Sn 3.20
S 0.0000 0.0000 0.5000  6 Sn 2.92

***

Record 5
Density functional theory data (PBE) for an optimized crystal structure of AcTb2Pr12.

Computed properties:
E: -273.72 eV per cell
total magnetization: 0.00 μB per cell
formation energy: 221 kJ/mol of formula units

Unit cell a=7.2812 b=11.8288 c=25.5603 alpha=90.00 beta=90.00 gamma=90.00
With the nearest neighbours (Å) after each atom.
Space group Cmme (No. 67)
Inequivalent atoms, fractional coordinates:
Ac 0.0000 0.2500 0.0133  6 Pr 3.57-3.68, 2 Ac 3.70
Tb 0.0000 0.2500 0.2756  2 Tb 3.64, 10 Pr 3.71-3.94
Tb 0.0000 0.2500 0.7292  2 Tb 3.64, 10 Pr 3.76-3.89
Pr 0.0000 0.0227 0.9215  2 Ac 3.57-3.63, 8 Pr 3.65-3.99
Pr 0.0000 0.0248 0.4406  5 Pr 3.09-3.44
Pr 0.2297 0.2500 0.5830  7 Pr 3.35-3.75
Pr 0.2394 0.2500 0.1400  5 Pr 3.36-3.65, 1 Ac 3.68
Pr 0.2500 0.0000 0.2024  3 Pr 3.19-3.36
Pr 0.2500 0.0000 0.3271  3 Pr 3.19-3.44